# 1
This record from Alexandria describes a relaxed Li4LaTl2Ag crystal. The functional is PBE-GGA.

Cell lengths 4.9593, 4.9593, 24.0453 Å; angles 90.00, 90.00, 120.00 degrees
Space group R-3m (No. 166, hexagonal axes)
Asymmetric unit:
Li1 0.0000 0.0000 0.1050 (multiplicity 6)
Li2 0.0000 0.0000 0.3604 (multiplicity 6)
La1 0.0000 0.0000 0.5000 (multiplicity 3)
Tl1 0.0000 0.0000 0.2412 (multiplicity 6)
Ag1 0.0000 0.0000 0.0000 (multiplicity 3)

Values from the calculation:
**Formation energy from the elements**: -0.195 eV per atom

=====

# 2
This record from Alexandria describes a relaxed NiAs2P crystal. The functional is PBE-GGA.

Cell lengths 5.445, 5.445, 10.770 Å; angles 90.00, 90.00, 90.00 degrees
Space group I-42d (No. 122)
Asymmetric unit:
Ni1 0.000 0.000 0.000 (multiplicity 4)
As1 0.227 0.250 0.125 (multiplicity 8)
P1 0.000 0.000 0.500 (multiplicity 4)

Values from the calculation:
**Formation energy from the elements**: -0.003 eV per atom